Entry 1:
DFT (PBE) results for TbZn2Ga2Au2 after structural relaxation.

Output
Size of the total moment: 0.000 μB/f.u.

a = 4.4546 Å, b = 4.4546 Å, c = 8.2367 Å
α = 74.31°, β = 74.31°, γ = 60.00°
Atoms (fractional coordinates):
Tb  0.0000  0.0000  0.0000
Zn  0.1355  0.1355  0.5936
Zn  0.8645  0.8645  0.4064
Ga  0.5965  0.5965  0.2106
Ga  0.4035  0.4035  0.7894
Au  0.7514  0.7514  0.7457
Au  0.2486  0.2486  0.2543

***

Entry 2:
DFT (PBE) results for Tb2Zn3GaAu4 after structural relaxation.

Output
Size of the total moment: 0.000 μB/f.u.

a = 4.1447 Å, b = 4.1447 Å, c = 11.6128 Å
α = 90.00°, β = 90.00°, γ = 90.00°
Atoms (fractional coordinates):
Tb  0.5000  0.0000  0.2472
Tb  0.0000  0.5000  0.7528
Zn  0.0000  0.0000  0.5000
Zn  0.5000  0.0000  0.8615
Zn  0.0000  0.5000  0.1385
Ga  0.5000  0.5000  0.5000
Au  0.5000  0.5000  0.0000
Au  0.0000  0.0000  0.0000
Au  0.5000  0.0000  0.6451
Au  0.0000  0.5000  0.3549

***

Entry 3:
DFT (PBE) results for TbZn2GaAu5 after structural relaxation.

Output
Size of the total moment: 0.000 μB/f.u.

a = 4.7767 Å, b = 5.7802 Å, c = 7.8572 Å
α = 111.58°, β = 107.70°, γ = 90.00°
Atoms (fractional coordinates):
Tb  0.0000  0.5000  0.0000
Zn  0.1875  0.1875  0.3749
Zn  0.8125  0.8125  0.6251
Ga  0.5000  0.0000  0.0000
Au  0.6531  0.8917  0.3062
Au  0.3469  0.1083  0.6938
Au  0.3469  0.5856  0.6938
Au  0.6531  0.4144  0.3062
Au  0.0000  0.0000  0.0000

***

Entry 4:
DFT (PBE) results for TbZnGaAu3 after structural relaxation.

Output
Size of the total moment: 0.000 μB/f.u.

a = 5.9732 Å, b = 6.7444 Å, c = 6.9946 Å
α = 118.82°, β = 90.00°, γ = 90.00°
Atoms (fractional coordinates):
Tb  0.7500  0.3041  0.6083
Tb  0.2500  0.6959  0.3917
Zn  0.2500  0.9345  0.8691
Zn  0.7500  0.0655  0.1309
Ga  0.2500  0.3627  0.7254
Ga  0.7500  0.6373  0.2746
Au  0.2500  0.1592  0.3184
Au  0.0000  0.2880  0.0000
Au  0.5000  0.7120  0.0000
Au  0.5000  0.2880  0.0000
Au  0.0000  0.7120  0.0000
Au  0.7500  0.8408  0.6816

***

| no. | energy relative to the elements (eV per atom) |
| --- | --- |
| 1 | -0.417 |
| 2 | -0.516 |
| 3 | -0.193 |
| 4 | -0.346 |